Below is ReNiBi2O after structural relaxation, with properties calculated at the PBE with a Hubbard U level.

a = 5.3261 Å, b = 3.4044 Å, c = 5.3261 Å
α = 90.00°, β = 90.00°, γ = 90.00°
Closest atoms and distances in Å follow each position.
Positions (direct):
Re  0.5000  0.5000  0.5000  8 Bi 3.16, 2 Re 3.40
Bi  0.0000  0.0000  0.5000  2 Ni 2.66
Bi  0.5000  0.0000  0.0000  2 Ni 2.66
O  0.0000  0.5000  0.0000  2 Ni 1.70
Ni  0.0000  0.0000  0.0000  2 O 1.70

space-group type = P4/mmm
volume = 96.6 Å³/cell
raw total energy = -4.8017 eV/atom
total magnetization = 1.49 μB/f.u.